! GGA+U KHoVF6, relaxed; values from VASP
&SYSTEM
  ibrav = 0, nat = 18, ntyp = 4
/
ATOMIC_SPECIES
K 39.10 K.upf
Ho 164.93 Ho.upf
V 50.94 V.upf
F 19.00 F.upf
ATOMIC_POSITIONS crystal
K 0.2864 0.0364 0.2500
K 0.7136 0.9636 0.7500
Ho 0.0000 0.5000 0.5000
Ho 0.5000 0.5000 0.0000
V 0.0000 0.0000 0.5000
V 0.0000 0.5000 0.0000
F 0.0485 0.4074 0.2225
F 0.0485 0.8260 0.6412
F 0.0620 0.8120 0.2500
F 0.3151 0.1740 0.7225
F 0.3151 0.5926 0.1412
F 0.3222 0.5722 0.7500
F 0.6778 0.4278 0.2500
F 0.6849 0.4074 0.8588
F 0.6849 0.8260 0.2775
F 0.9380 0.1880 0.7500
F 0.9515 0.1740 0.3588
F 0.9515 0.5926 0.7775
CELL_PARAMETERS angstrom
-3.8876 4.0824 5.6349
3.8876 -4.0824 5.6349
3.8876 4.0824 -5.6349
! * mass density: 3.425 g/cm³
! * space-group type: Imma, No. 74
! * volume: 357.72 Å³ per cell
! * spin magnetization: 0.33 μB per atom
! * E: -6.03 eV/atom